1.
Computed, not measured: a geometry-optimized RbCaH6Au2 structure at the PBE level of DFT.

```
20
Lattice="-6.1873 -0.8669 2.4952 -0.9377 -5.3481 -3.9723 3.1521 -3.2157 4.7866" Properties=species:S:1:pos:R:3 pbc="T T T"
Rb -0.7936 -5.6023 -1.9823
Rb -3.1793 -3.8284 5.2918
Ca -3.2955 -3.4667 1.1000
Ca -0.6775 -5.9640 2.2096
H -5.0275 -3.1507 2.8001
H -4.0870 -1.6285 2.5088
H 1.0546 -6.2800 0.5094
H 0.1140 -7.8022 0.8007
H -1.4010 -2.1100 0.0860
H -3.9667 -5.8676 0.6069
H -2.5720 -7.3207 3.2236
H -0.0062 -3.5631 2.7026
H -1.2981 -4.5641 0.5621
H -3.0770 -4.2607 -1.0921
H -2.6749 -4.8665 2.7474
H -0.8959 -5.1700 4.4016
Au 0.1854 -3.8472 4.5224
Au -3.8774 -6.0859 2.7758
Au -4.1584 -5.5835 -1.2129
Au -0.0956 -3.3448 0.5337
```

Summary:
Its space group is No. 15. The magnetization is 0.00 Bohr magnetons per cell. As for the density: 5.9 g/cm³. The value obtained for the density of states at the Fermi level is 3.08 states/eV per cell. The energy is -3.143 eV per atom. The calculation puts the volume at 294.0 Å³/cell.

2.
Computed, not measured: a geometry-optimized LiCdTeMoBr structure at the PBE level of DFT.

```
5
Lattice="3.5141 0.0800 -0.0664 -1.0987 4.7279 0.0202 -1.0172 -2.4506 6.8832" Properties=species:S:1:pos:R:3 pbc="T T T"
Li 1.5630 -1.7476 5.4755
Cd -0.9925 0.6541 5.5983
Te -1.0801 2.8870 3.1283
Mo 0.7020 0.8712 3.3010
Br 0.8231 0.7812 0.5128
```

Summary:
As for the formation energy without anion corrections: -0.385 eV per formula unit. Its space group is No. 1. The magnetization is 0.86 Bohr magnetons per cell. As for the density: 6.1 g/cm³. The value obtained for the density of states at the Fermi level is 2.74 states/eV per cell. As for the distance to the lowest polymorph of the same formula: 307 meV per atom. The calculation puts the volume at 114.6 Å³/cell.

3.
Computed, not measured: a geometry-optimized ZnCu4Mo structure at the PBE level of DFT.

```
6
Lattice="-1.8137 -3.1942 -3.1299 -4.3929 0.6870 -1.8759 -0.4782 1.1857 -4.6534" Properties=species:S:1:pos:R:3 pbc="T T T"
Zn 0.0000 0.0000 0.0000
Cu -3.4136 -2.0927 -5.1871
Cu -2.5068 -0.4956 -3.6222
Cu -2.7459 0.0973 -5.9489
Cu -4.7032 -0.1521 -4.5602
Mo -5.0136 -0.9911 -7.2444
```

Summary:
Its space group is No. 216. The magnetization is 1.83 Bohr magnetons per cell. As for the density: 8.7 g/cm³. The value obtained for the density of states at the Fermi level is 3.28 states/eV per cell. The energy is -4.491 eV per atom. The calculation puts the volume at 79.5 Å³/cell.

4.
Computed, not measured: a geometry-optimized LaCeSm6Er2 structure at the PBE level of DFT.

```
10
Lattice="-3.8004 5.6046 -5.9354 -2.2891 -5.3369 -3.5737 -2.9173 1.7958 5.6919" Properties=species:S:1:pos:R:3 pbc="T T T"
La -1.9002 2.8023 -2.9677
Ce -1.1446 -2.6684 -1.7869
Sm -3.8221 -0.5609 -3.2191
Sm -2.8417 1.9093 2.3716
Sm -4.9677 2.9458 -4.3195
Sm -4.0391 -0.8823 0.5023
Sm -6.1651 0.1541 -6.1888
Sm -5.1847 2.6244 -0.5981
Er -1.3602 0.7432 -0.2386
Er -7.6466 1.3203 -3.5786
```

Summary:
Its space group is No. 12. The magnetization is 1.62 Bohr magnetons per cell. As for the density: 7.4 g/cm³. The value obtained for the density of states at the Fermi level is 23.84 states/eV per cell. The energy is -4.592 eV per atom. The calculation puts the volume at 339.3 Å³/cell.

5.
Computed, not measured: a geometry-optimized Ti7Tl2N2 structure at the PBE level of DFT.

```
11
Lattice="-2.9976 6.7834 0.5241 -2.7164 -1.5652 -4.6926 -2.2628 -2.0926 4.7275" Properties=species:S:1:pos:R:3 pbc="T T T"
Ti -4.0877 -1.4073 -1.8515
Ti -4.0776 4.7522 -1.5071
Ti -3.8890 4.5329 2.4105
Ti -3.8991 -1.6266 2.0662
Ti 0.0000 0.0000 0.0000
Ti -5.4746 3.5341 0.4615
Ti -2.5021 -0.4085 0.0976
Tl -3.9085 1.4700 1.9374
Tl -4.0682 1.6556 -1.3783
N -3.9804 4.9585 0.4693
N -3.9963 -1.8329 0.0898
```

Summary:
As for the formation energy without anion corrections: -3.895 eV per formula unit. Its space group is No. 12. The magnetization is 0.23 Bohr magnetons per cell. As for the density: 6.0 g/cm³. The value obtained for the density of states at the Fermi level is 11.81 states/eV per cell. The calculation puts the volume at 211.9 Å³/cell.

Question: The lowest magnetization belongs to which entry?
Answer: RbCaH6Au2

Question: What is the formula in the second record?
Answer: LiCdTeMoBr